(1)
A plane-wave DFT calculation with PBEsol was carried out for crystalline MgMn2Cr at its relaxed geometry.

Computed properties:
Density of states at the Fermi level, states/eV per atom: 0.76
DFT formation energy, meV/atom: 455

Cell: 5.898 5.898 5.898 Å, 90.00 90.00 90.00°
Space group F-43m (No. 216)
Symmetry-distinct sites (fractional):
Mg 0.000 0.000 0.000
Mn 0.000 0.000 0.500
Mn 0.250 0.250 0.750
Cr 0.250 0.250 0.250

(2)
A plane-wave DFT calculation with PBEsol was carried out for crystalline CrAuN2 at its relaxed geometry.

Computed properties:
E_form (uncorrected), eV/atom: -0.03
Density of states at the Fermi level, states/eV per atom: 0.36

Cell: 2.7659 2.7659 18.9095 Å, 90.00 90.00 120.00°
Space group R-3m (No. 166, hexagonal axes)
Symmetry-distinct sites (fractional):
Cr 0.0000 0.0000 0.0000
Au 0.0000 0.0000 0.5000
N 0.0000 0.0000 0.3921

(3)
A plane-wave DFT calculation with PBEsol was carried out for crystalline TlAu at its relaxed geometry.

Computed properties:
Density of states at the Fermi level, states/eV per atom: 0.31
DFT formation energy, meV/atom: 50

Cell: 10.749 3.152 5.426 Å, 90.00 107.96 90.00°
Space group C2/m (No. 12)
Symmetry-distinct sites (fractional):
Tl 0.100 0.000 0.314
Au 0.153 0.500 0.830

(4)
A plane-wave DFT calculation with PBEsol was carried out for crystalline Li3CrBAsO7 at its relaxed geometry.

Computed properties:
E_form (uncorrected), eV/atom: -1.94

Cell: 5.021 6.390 8.429 Å, 90.00 95.04 90.00°
Space group P2_1/m (No. 11)
Symmetry-distinct sites (fractional):
Li 0.238 0.250 0.094
Li 0.250 0.012 0.773
Cr 0.210 0.750 0.311
B 0.296 0.750 0.036
As 0.276 0.250 0.423
O 0.038 0.750 0.087
O 0.139 0.250 0.601
O 0.176 0.053 0.292
O 0.361 0.750 0.884
O 0.385 0.750 0.530
O 0.491 0.750 0.166

(5)
A plane-wave DFT calculation with PBEsol was carried out for crystalline Cs2NaTcPb at its relaxed geometry.

Computed properties:
Density of states at the Fermi level, states/eV per atom: 0.57
DFT formation energy, meV/atom: 1363

Cell: 6.251 6.251 5.699 Å, 90.00 90.00 90.00°
Space group P4/mmm (No. 123)
Symmetry-distinct sites (fractional):
Cs 0.000 0.500 0.000
Na 0.000 0.000 0.000
Tc 0.500 0.500 0.500
Pb 0.000 0.000 0.500

(6)
A plane-wave DFT calculation with PBEsol was carried out for crystalline LaMgPt2 at its relaxed geometry.

Computed properties:
Density of states at the Fermi level, states/eV per atom: 0.40
DFT formation energy, meV/atom: -876

Cell: 4.292 3.789 10.383 Å, 90.00 90.00 90.00°
Space group Amm2 (No. 38)
Symmetry-distinct sites (fractional):
La 0.000 0.000 0.000
Mg 0.500 0.000 0.286
Pt 0.000 0.000 0.733
Pt 0.500 0.000 0.566

(7)
A plane-wave DFT calculation with PBEsol was carried out for crystalline BaLi2Mg at its relaxed geometry.

Computed properties:
Density of states at the Fermi level, states/eV per atom: 0.77
DFT formation energy, meV/atom: 136

Cell: 5.645 5.645 3.581 Å, 90.00 90.00 90.00°
Space group P4/mmm (No. 123)
Symmetry-distinct sites (fractional):
Ba 0.000 0.000 0.000
Li 0.000 0.500 0.500
Mg 0.500 0.500 0.000

(8)
A plane-wave DFT calculation with PBEsol was carried out for crystalline MgRuAu2 at its relaxed geometry.

Computed properties:
Density of states at the Fermi level, states/eV per atom: 0.90
DFT formation energy, meV/atom: 20

Cell: 2.740 4.032 5.756 Å, 90.00 90.00 90.00°
Space group Pmmm (No. 47)
Symmetry-distinct sites (fractional):
Mg 0.000 0.000 0.000
Ru 0.000 0.000 0.500
Au 0.500 0.500 0.255

(9)
A plane-wave DFT calculation with PBEsol was carried out for crystalline LiSi2Os at its relaxed geometry.

Computed properties:
E_form (uncorrected), eV/atom: -0.19
Density of states at the Fermi level, states/eV per atom: 0.41

Cell: 2.892 2.892 7.045 Å, 90.00 90.00 90.00°
Space group P4/mmm (No. 123)
Symmetry-distinct sites (fractional):
Li 0.000 0.000 0.000
Si 0.500 0.500 0.289
Os 0.000 0.000 0.500

(10)
A plane-wave DFT calculation with PBEsol was carried out for crystalline Ba4PrRu3O12 at its relaxed geometry.

Computed properties:
E_form (uncorrected), eV/atom: -2.11
Density of states at the Fermi level, states/eV per atom: 0.45

Cell: 10.210 5.890 10.636 Å, 90.00 111.56 90.00°
Space group C2/m (No. 12)
Symmetry-distinct sites (fractional):
Ba 0.130 0.000 0.392
Ba 0.226 0.500 0.155
Pr 0.000 0.000 0.000
Ru 0.000 0.500 0.500
Ru 0.071 0.500 0.754
O 0.014 0.266 0.847
O 0.116 0.270 0.633
O 0.123 0.500 0.393
O 0.242 0.000 0.112

(11)
A plane-wave DFT calculation with PBEsol was carried out for crystalline ZnHgBiOs2 at its relaxed geometry.

Computed properties:
Density of states at the Fermi level, states/eV per atom: 1.24
DFT formation energy, meV/atom: 2604

Cell: 4.948 4.948 5.319 Å, 90.00 90.00 90.00°
Space group P4/mmm (No. 123)
Symmetry-distinct sites (fractional):
Zn 0.000 0.000 0.000
Hg 0.500 0.500 0.500
Bi 0.500 0.500 0.000
Os 0.000 0.500 0.500

(12)
A plane-wave DFT calculation with PBEsol was carried out for crystalline BeOs2Br at its relaxed geometry.

Computed properties:
E_form (uncorrected), eV/atom: 1.07
Density of states at the Fermi level, states/eV per atom: 0.76

Cell: 5.204 8.740 2.942 Å, 90.00 120.55 90.00°
Space group C2/m (No. 12)
Symmetry-distinct sites (fractional):
Be 0.000 0.000 0.000
Os 0.250 0.250 0.500
Br 0.000 0.500 0.000